## LiTl2Tc (GGA-PBE)

Data for a relaxed LiTl2Tc crystal.

```
data_LiTl2Tc
_chemical_formula_sum 'Li1 Tl2 Tc1'
_symmetry_space_group_name_H-M 'P 4/m m m'
_symmetry_Int_Tables_number 123
_symmetry_space_group_name_Hall '-P 4 2'
_cell_length_a 3.435
_cell_length_b 3.435
_cell_length_c 6.395
_cell_angle_alpha 90.00
_cell_angle_beta 90.00
_cell_angle_gamma 90.00
loop_
_atom_site_label
_atom_site_type_symbol
_atom_site_fract_x
_atom_site_fract_y
_atom_site_fract_z
Li1 Li 0.000 0.000 0.000
Tl1 Tl 0.500 0.500 0.252
Tc1 Tc 0.000 0.000 0.500
```

Summary:
Total DFT energy (no corrections): -3.933 eV per atom

***

## LiTl2Tc (GGA-PBE)

Data for a relaxed LiTl2Tc crystal.

```
data_LiTl2Tc
_chemical_formula_sum 'Li3 Tl6 Tc3'
_symmetry_space_group_name_H-M 'R -3 m'
_symmetry_Int_Tables_number 166
_symmetry_space_group_name_Hall '-R 3 2"'
_cell_length_a 3.1789
_cell_length_b 3.1789
_cell_length_c 27.6575
_cell_angle_alpha 90.00
_cell_angle_beta 90.00
_cell_angle_gamma 120.00
loop_
_atom_site_label
_atom_site_type_symbol
_atom_site_fract_x
_atom_site_fract_y
_atom_site_fract_z
Li1 Li 0.0000 0.0000 0.0000
Tl1 Tl 0.0000 0.0000 0.2483
Tc1 Tc 0.0000 0.0000 0.5000
```

Summary:
Total DFT energy (no corrections): -3.879 eV per atom

***

## LiTl2Tc (GGA-PBE)

Data for a relaxed LiTl2Tc crystal.

```
data_LiTl2Tc
_chemical_formula_sum 'Li3 Tl6 Tc3'
_symmetry_space_group_name_H-M 'R 3 m'
_symmetry_Int_Tables_number 160
_symmetry_space_group_name_Hall 'R 3 -2"'
_cell_length_a 3.1621
_cell_length_b 3.1621
_cell_length_c 29.0809
_cell_angle_alpha 90.00
_cell_angle_beta 90.00
_cell_angle_gamma 120.00
loop_
_atom_site_label
_atom_site_type_symbol
_atom_site_fract_x
_atom_site_fract_y
_atom_site_fract_z
Li1 Li 0.0000 0.0000 0.0000
Tl1 Tl 0.0000 0.0000 0.5171
Tl2 Tl 0.0000 0.0000 0.7518
Tc1 Tc 0.0000 0.0000 0.2619
```

Summary:
Total DFT energy (no corrections): -3.709 eV per atom

***

## LiTl2Tc (GGA-PBE)

Data for a relaxed LiTl2Tc crystal.

```
data_LiTl2Tc
_chemical_formula_sum 'Li1 Tl2 Tc1'
_symmetry_space_group_name_H-M 'P 4 m m'
_symmetry_Int_Tables_number 99
_symmetry_space_group_name_Hall 'P 4 -2'
_cell_length_a 3.715
_cell_length_b 3.715
_cell_length_c 5.833
_cell_angle_alpha 90.00
_cell_angle_beta 90.00
_cell_angle_gamma 90.00
loop_
_atom_site_label
_atom_site_type_symbol
_atom_site_fract_x
_atom_site_fract_y
_atom_site_fract_z
Li1 Li 0.000 0.000 0.000
Tl1 Tl 0.000 0.000 0.439
Tl2 Tl 0.500 0.500 0.784
Tc1 Tc 0.500 0.500 0.264
```

Summary:
Total DFT energy (no corrections): -3.802 eV per atom